Entry from Alexandria: Fe2AsPb after structural relaxation (GGA-PBE).

Computed properties:
M_tot: 4.4 μB per formula unit
Raw total energy: -48.684 eV per cell
Energy relative to the lowest polymorph listed for this composition: 82 meV/atom
Energy of formation from the pure elements: 0.235 eV/atom
Density of states at the Fermi level: 0.7124 states/eV per atom

Unit cell a=3.0624 b=3.7585 c=12.4110 alpha=90.00 beta=90.00 gamma=90.00
Space group Imm2 (No. 44)
Inequivalent atoms, fractional coordinates:
Fe: 0.0000 0.0000 0.0000 (multiplicity 2)
Fe: 0.0000 0.5000 0.3392 (multiplicity 2)
As: 0.0000 0.0000 0.4623 (multiplicity 2)
Pb: 0.0000 0.5000 0.7053 (multiplicity 2)